Computed, not measured: CoAg2C2O6 after structural relaxation at the GGA+U level of DFT.

## Properties
- D(E_F) (states/eV/atom) = 0.448
- space group = R-3m (166)
- final energy (eV/atom) = -6.208
- size of the total moment (μB per formula unit) = 3.015

Lattice parameters (Å, degrees): 5.072 5.072 6.475 66.94 66.94 60.00
Each line ends with the local moment (μB).
Fractional coordinates of all 11 atoms:
Co 0.000 0.000 0.000  2.69
Ag 0.794 0.794 0.619  0.00
Ag 0.206 0.206 0.381  0.00
C 0.408 0.408 0.777  0.01
C 0.592 0.592 0.223  0.01
O 0.738 0.738 0.229  0.04
O 0.295 0.738 0.229  0.04
O 0.738 0.295 0.229  0.04
O 0.262 0.705 0.771  0.04
O 0.705 0.262 0.771  0.04
O 0.262 0.262 0.771  0.04